This record from Alexandria describes an optimized crystal structure of SrLiCeO3. The functional is PBE.

## Properties
* total moment: 0.98 μB/f.u.
* ΔE_f (raw): -2.674 eV/atom
* density of states at the Fermi level: 2.726 states/eV/f.u.

Cell: 3.5156 5.8241 9.2800 Å, 90.00 90.00 107.57°
Closest atoms and distances in Å follow each position.
Atoms (fractional coordinates):
1 Sr 0.7500 0.5000 0.7500  6 O 2.61-2.71
2 Sr 0.2500 0.5000 0.2500  6 O 2.61-2.71
3 Li 0.4791 0.9582 0.7500  4 O 1.90-2.06
4 Li 0.5209 0.0418 0.2500  4 O 1.90-2.06
5 Ce 0.0000 0.0000 0.5000  6 O 2.37-2.47
6 Ce 0.0000 0.0000 0.0000  6 O 2.37-2.47
7 O 0.6241 0.2483 0.4139  1 Li 1.90
8 O 0.3759 0.7517 0.5861  1 Li 1.90
9 O 0.3759 0.7517 0.9139  1 Li 1.90
10 O 0.6241 0.2483 0.0861  1 Li 1.90
11 O 0.0759 0.1517 0.7500  2 Li 2.06
12 O 0.9241 0.8483 0.2500  2 Li 2.06